Entry 1:
## TaNi2Ag (PBE)

Data for a geometry-optimized TaNi2Ag structure.

a = 4.493 Å, b = 4.493 Å, c = 4.979 Å
α = 99.98°, β = 99.98°, γ = 36.32°
Sites, in units of the cell vectors:
1 Ta 0.000 0.000 0.000
2 Ni 0.252 0.252 0.774
3 Ni 0.748 0.748 0.226
4 Ag 0.500 0.500 0.500

DFT formation energy, meV per atom: 145

***

Entry 2:
## Al3CuNi2 (PBE)

Data for a geometry-optimized Al3CuNi2 structure.

a = 5.415 Å, b = 5.415 Å, c = 6.182 Å
α = 90.00°, β = 90.00°, γ = 120.00°
Sites, in units of the cell vectors:
1 Al 0.167 0.334 0.193
2 Al 0.167 0.833 0.193
3 Al 0.334 0.167 0.807
4 Al 0.666 0.833 0.193
5 Al 0.833 0.167 0.807
6 Al 0.833 0.666 0.807
7 Cu 0.333 0.667 0.840
8 Cu 0.667 0.333 0.160
9 Ni 0.000 0.000 0.500
10 Ni 0.000 0.500 0.500
11 Ni 0.500 0.000 0.500
12 Ni 0.500 0.500 0.500

DFT formation energy, meV per atom: -257

***

Entry 3:
## SrZnCd2Rh (PBE)

Data for a geometry-optimized SrZnCd2Rh structure.

a = 5.199 Å, b = 5.199 Å, c = 4.859 Å
α = 90.00°, β = 90.00°, γ = 90.00°
Sites, in units of the cell vectors:
1 Sr 0.000 0.000 0.000
2 Zn 0.500 0.500 0.000
3 Cd 0.000 0.500 0.500
4 Cd 0.500 0.000 0.500
5 Rh 0.500 0.500 0.500

DFT formation energy, meV per atom: -212

***

Entry 4:
## CsZnIn2Br5 (PBE)

Data for a geometry-optimized CsZnIn2Br5 structure.

a = 10.010 Å, b = 10.010 Å, c = 10.010 Å
α = 125.98°, β = 125.98°, γ = 79.93°
Sites, in units of the cell vectors:
1 Cs 0.250 0.250 0.000
2 Cs 0.750 0.750 0.000
3 Zn 0.250 0.750 0.500
4 Zn 0.750 0.250 0.500
5 In 0.166 0.666 0.832
6 In 0.334 0.166 0.500
7 In 0.666 0.834 0.500
8 In 0.834 0.334 0.168
9 Br 0.000 0.000 0.000
10 Br 0.002 0.796 0.500
11 Br 0.204 0.704 0.206
12 Br 0.296 0.502 0.500
13 Br 0.498 0.998 0.794
14 Br 0.500 0.500 0.000
15 Br 0.502 0.002 0.206
16 Br 0.704 0.498 0.500
17 Br 0.796 0.296 0.794
18 Br 0.998 0.204 0.500

Raw formation energy, eV per atom: -1.0040

***

Entry 5:
## Y2CdSe (PBE)

Data for a geometry-optimized Y2CdSe structure.

a = 11.867 Å, b = 11.867 Å, c = 4.385 Å
α = 90.00°, β = 90.00°, γ = 160.44°
Sites, in units of the cell vectors:
1 Y 0.074 0.926 0.750
2 Y 0.317 0.683 0.750
3 Y 0.683 0.317 0.250
4 Y 0.926 0.074 0.250
5 Cd 0.458 0.542 0.750
6 Cd 0.542 0.458 0.250
7 Se 0.195 0.805 0.750
8 Se 0.805 0.195 0.250

Raw formation energy, eV per atom: -1.0375

***

Entry 6:
## AcBiTe3 (PBE)

Data for a geometry-optimized AcBiTe3 structure.

a = 9.237 Å, b = 4.738 Å, c = 16.028 Å
α = 90.00°, β = 90.00°, γ = 90.00°
Sites, in units of the cell vectors:
1 Ac 0.095 0.250 0.168
2 Ac 0.405 0.750 0.668
3 Ac 0.595 0.250 0.332
4 Ac 0.905 0.750 0.832
5 Bi 0.156 0.750 0.442
6 Bi 0.344 0.250 0.942
7 Bi 0.656 0.750 0.058
8 Bi 0.844 0.250 0.558
9 Te 0.029 0.750 0.630
10 Te 0.143 0.750 0.009
11 Te 0.178 0.250 0.781
12 Te 0.322 0.750 0.281
13 Te 0.357 0.250 0.509
14 Te 0.471 0.250 0.130
15 Te 0.529 0.750 0.870
16 Te 0.643 0.750 0.491
17 Te 0.678 0.250 0.719
18 Te 0.822 0.750 0.219
19 Te 0.857 0.250 0.991
20 Te 0.971 0.250 0.370

Raw formation energy, eV per atom: -0.8891

***

Entry 7:
## Ac2Ga5Ir (PBE)

Data for a geometry-optimized Ac2Ga5Ir structure.

a = 6.607 Å, b = 6.607 Å, c = 6.607 Å
α = 123.36°, β = 123.36°, γ = 84.27°
Sites, in units of the cell vectors:
1 Ac 0.000 0.500 0.500
2 Ac 0.500 0.000 0.500
3 Ga 0.034 0.034 0.567
4 Ga 0.034 0.467 0.000
5 Ga 0.453 0.453 0.000
6 Ga 0.467 0.034 0.000
7 Ga 0.467 0.467 0.433
8 Ir 0.708 0.708 0.000

DFT formation energy, meV per atom: -472

***

Entry 8:
## As2Rh2Pb (PBE)

Data for a geometry-optimized As2Rh2Pb structure.

a = 6.662 Å, b = 6.662 Å, c = 6.662 Å
α = 144.20°, β = 144.20°, γ = 51.52°
Sites, in units of the cell vectors:
1 As 0.135 0.135 0.000
2 As 0.865 0.865 0.000
3 Rh 0.250 0.750 0.500
4 Rh 0.750 0.250 0.500
5 Pb 0.500 0.500 0.000

DFT formation energy, meV per atom: -311

***

| no. | V (Å³ per atom) | energy (eV/cell) |
| --- | --- | --- |
| 1 | 14.6 | -25.7 |
| 2 | 13.1 | -56.9 |
| 3 | 26.3 | -13.2 |
| 4 | 35.2 | -50.0 |
| 5 | 25.8 | -43.0 |
| 6 | 35.1 | -87.4 |
| 7 | 24.1 | -36.0 |
| 8 | 20.1 | -29.3 |